This record from Alexandria via LeMat-Bulk describes a relaxed Si2PtPb crystal. The functional is PBEsol.

Summary:
The calculation puts the energy relative to the elements, uncorrected at 0.3832 eV/atom. The total energy comes out at -20.923 eV/cell.

Cell lengths 4.043, 4.043, 4.466 Å; angles 90.00, 90.00, 90.00 degrees
Space group P4/mmm (No. 123)
Unique sites:
Si: 0.000 0.500 0.000 (multiplicity 2)
Pt: 0.000 0.000 0.500 (multiplicity 1)
Pb: 0.500 0.500 0.500 (multiplicity 1)

This record from Alexandria via LeMat-Bulk describes a relaxed CaCrMo2 crystal. The functional is PBEsol.

Summary:
The total energy comes out at -64.475 eV/cell. For the formation enthalpy at 0 K, the calculation gives 0.918 eV per atom.

Cell lengths 3.803, 3.803, 9.476 Å; angles 90.00, 90.00, 90.00 degrees
Space group I4/mmm (No. 139)
Unique sites:
Ca: 0.000 0.000 0.000 (multiplicity 2)
Cr: 0.000 0.000 0.500 (multiplicity 2)
Mo: 0.000 0.500 0.250 (multiplicity 4)

This record from Alexandria via LeMat-Bulk describes a relaxed LaAlPt2 crystal. The functional is PBEsol.

Summary:
The total energy comes out at -26.226 eV/cell. For the formation enthalpy at 0 K, the calculation gives -0.715 eV per atom.

Cell lengths 3.668, 3.668, 6.051 Å; angles 90.00, 90.00, 90.00 degrees
Space group P4mm (No. 99)
Unique sites:
La: 0.000 0.000 0.000 (multiplicity 1)
Al: 0.500 0.500 0.615 (multiplicity 1)
Pt: 0.000 0.000 0.523 (multiplicity 1)
Pt: 0.500 0.500 0.210 (multiplicity 1)

This record from Alexandria via LeMat-Bulk describes a relaxed NaTeP2S crystal. The functional is PBEsol.

Summary:
The calculation puts the energy relative to the elements, uncorrected at 0.6285 eV/atom. The total energy comes out at -17.751 eV/cell.

Cell lengths 5.085, 5.085, 5.158 Å; angles 90.00, 90.00, 90.00 degrees
Space group P4/mmm (No. 123)
Unique sites:
Na: 0.000 0.000 0.000 (multiplicity 1)
Te: 0.500 0.500 0.500 (multiplicity 1)
P: 0.000 0.500 0.500 (multiplicity 2)
S: 0.500 0.500 0.000 (multiplicity 1)

This record from Alexandria via LeMat-Bulk describes a relaxed Eu2CuO4 crystal. The functional is PBEsol.

Summary:
The calculation puts the energy relative to the elements, uncorrected at -2.2440 eV/atom. The total energy comes out at -124.332 eV/cell.

Cell lengths 3.865, 3.865, 11.878 Å; angles 90.00, 90.00, 90.00 degrees
Space group I4/mmm (No. 139)
Unique sites:
Eu: 0.000 0.000 0.147 (multiplicity 4)
Cu: 0.000 0.000 0.500 (multiplicity 2)
O: 0.000 0.500 0.000 (multiplicity 4)
O: 0.000 0.500 0.250 (multiplicity 4)

This record from Alexandria via LeMat-Bulk describes a relaxed ScSbRh2 crystal. The functional is PBEsol.

Summary:
The calculation puts the energy relative to the elements, uncorrected at -0.7706 eV/atom. The total energy comes out at -30.522 eV/cell.

Cell lengths 4.233, 4.233, 3.639 Å; angles 90.00, 90.00, 90.00 degrees
Space group P4/mmm (No. 123)
Unique sites:
Sc: 0.000 0.000 0.000 (multiplicity 1)
Sb: 0.500 0.500 0.000 (multiplicity 1)
Rh: 0.000 0.500 0.500 (multiplicity 2)

This record from Alexandria via LeMat-Bulk describes a relaxed In2WSe crystal. The functional is PBEsol.

Summary:
The calculation puts the energy relative to the elements, uncorrected at 0.5503 eV/atom. The total energy comes out at -21.422 eV/cell.

Cell lengths 4.884, 4.884, 3.258 Å; angles 90.00, 90.00, 90.00 degrees
Space group P4/mmm (No. 123)
Unique sites:
In: 0.000 0.500 0.000 (multiplicity 2)
W: 0.000 0.000 0.500 (multiplicity 1)
Se: 0.500 0.500 0.500 (multiplicity 1)

This record from Alexandria via LeMat-Bulk describes a relaxed ZrNiW2 crystal. The functional is PBEsol.

Summary:
The total energy comes out at -42.557 eV/cell. For the formation enthalpy at 0 K, the calculation gives 0.076 eV per atom.

Cell lengths 3.219, 4.283, 4.555 Å; angles 90.00, 90.00, 90.00 degrees
Space group Pmmm (No. 47)
Unique sites:
Zr: 0.000 0.000 0.000 (multiplicity 1)
Ni: 0.500 0.500 0.000 (multiplicity 1)
W: 0.000 0.500 0.500 (multiplicity 1)
W: 0.500 0.000 0.500 (multiplicity 1)

This record from Alexandria via LeMat-Bulk describes a relaxed KNiP crystal. The functional is PBEsol.

Summary:
The total energy comes out at -43.531 eV/cell. For the formation enthalpy at 0 K, the calculation gives 0.733 eV per atom.

Cell lengths 6.335, 6.335, 6.335 Å; angles 90.00, 90.00, 90.00 degrees
Space group F-43m (No. 216)
Unique sites:
K: 0.000 0.000 0.000 (multiplicity 4)
Ni: 0.000 0.000 0.500 (multiplicity 4)
P: 0.250 0.250 0.250 (multiplicity 4)

This record from Alexandria via LeMat-Bulk describes a relaxed KZn2MoSe crystal. The functional is PBEsol.

Summary:
The calculation puts the energy relative to the elements, uncorrected at 1.1455 eV/atom. The total energy comes out at -14.188 eV/cell.

Cell lengths 4.978, 4.978, 6.035 Å; angles 90.00, 90.00, 90.00 degrees
Space group P4/mmm (No. 123)
Unique sites:
K: 0.000 0.000 0.000 (multiplicity 1)
Zn: 0.000 0.500 0.500 (multiplicity 2)
Mo: 0.000 0.000 0.500 (multiplicity 1)
Se: 0.500 0.500 0.000 (multiplicity 1)

This record from Alexandria via LeMat-Bulk describes a relaxed NaAgH3 crystal. The functional is PBEsol.

Summary:
The total energy comes out at -14.561 eV/cell.

Cell lengths 3.696, 3.696, 3.696 Å; angles 90.00, 90.00, 90.00 degrees
Space group Pm-3m (No. 221)
Unique sites:
Na: 0.000 0.000 0.000 (multiplicity 1)
Ag: 0.500 0.500 0.500 (multiplicity 1)
H: 0.000 0.500 0.500 (multiplicity 3)

This record from Alexandria via LeMat-Bulk describes a relaxed AlCuSnS4 crystal. The functional is PBEsol.

Summary:
The calculation puts the energy relative to the elements, uncorrected at -0.6795 eV/atom. The total energy comes out at -139.913 eV/cell.

Cell lengths 7.109, 7.238, 10.132 Å; angles 90.00, 90.00, 90.00 degrees
Space group Imma (No. 74)
Unique sites:
Al: 0.250 0.250 0.250 (multiplicity 4)
Cu: 0.000 0.250 0.633 (multiplicity 4)
Sn: 0.000 0.000 0.000 (multiplicity 4)
S: 0.000 0.020 0.251 (multiplicity 8)
S: 0.247 0.250 0.490 (multiplicity 8)